No. 1
Computed, not measured: a relaxed structure of KAl2Tl at the PBE-GGA level of DFT.

Properties
Energy above the most stable polymorph in this dataset, kJ/mol of atoms: 13.3
Energy relative to the elements, eV/atom: 0.260
Spin magnetization, μB per formula unit: 0.0
V, Å³ per atom: 29.3

The structure in CIF format:
```
data_KAl2Tl
_cell_length_a 7.4881
_cell_length_b 8.6096
_cell_length_c 4.6041
_cell_angle_alpha 90.00
_cell_angle_beta 127.72
_cell_angle_gamma 90.00
_symmetry_space_group_name_H-M 'C 1 2 1'
_symmetry_Int_Tables_number 5
_symmetry_space_group_name_Hall 'C 2y'
loop_
_atom_site_label
_atom_site_fract_x
_atom_site_fract_y
_atom_site_fract_z
K1 0.0000 0.0000 0.0000
Al1 0.0000 0.5605 0.0000
Al2 0.0000 0.7031 0.5000
Tl1 0.0000 0.3002 0.5000
```



No. 2
Computed, not measured: a relaxed structure of KZrAl2Tl at the PBE-GGA level of DFT.

Properties
Energy relative to the elements, eV/atom: 0.852
Spin magnetization, μB per formula unit: 0.0
V, Å³ per atom: 35.3

The structure in CIF format:
```
data_KZrAl2Tl
_cell_length_a 5.3478
_cell_length_b 5.3478
_cell_length_c 6.1791
_cell_angle_alpha 90.00
_cell_angle_beta 90.00
_cell_angle_gamma 90.00
_symmetry_space_group_name_H-M 'P 4/m m m'
_symmetry_Int_Tables_number 123
_symmetry_space_group_name_Hall '-P 4 2'
loop_
_atom_site_label
_atom_site_fract_x
_atom_site_fract_y
_atom_site_fract_z
K1 0.0000 0.0000 0.0000
Zr1 0.0000 0.0000 0.5000
Al1 0.0000 0.5000 0.5000
Tl1 0.5000 0.5000 0.0000
```



No. 3
Computed, not measured: a relaxed structure of K2ZrAlTl at the PBE-GGA level of DFT.

Properties
Energy relative to the elements, eV/atom: 1.086
Spin magnetization, μB per formula unit: 3.1
V, Å³ per atom: 42.6

The structure in CIF format:
```
data_K2ZrAlTl
_cell_length_a 6.3374
_cell_length_b 6.3374
_cell_length_c 5.3046
_cell_angle_alpha 90.00
_cell_angle_beta 90.00
_cell_angle_gamma 90.00
_symmetry_space_group_name_H-M 'P 4/m m m'
_symmetry_Int_Tables_number 123
_symmetry_space_group_name_Hall '-P 4 2'
loop_
_atom_site_label
_atom_site_fract_x
_atom_site_fract_y
_atom_site_fract_z
K1 0.0000 0.5000 0.0000
Zr1 0.0000 0.0000 0.5000
Al1 0.5000 0.5000 0.0000
Tl1 0.5000 0.5000 0.5000
```